[1]
## Li2TaAg (GGA-PBE)

Data for Li2TaAg after structural relaxation.

The structure in POSCAR format:
```
Li2TaAg
1.0
4.967 0.005 -0.013
4.251 2.569 -0.013
0.507 0.142 5.392
Li Ta Ag
2 1 1
direct
0.007 0.007 0.016 Li
0.251 0.251 0.224 Li
0.495 0.495 0.523 Ta
0.747 0.747 0.738 Ag
```

The value obtained for the density of states at the Fermi level is 1.747 states/eV per cell. The space group is Cm, No. 8. The calculated total energy is -4.297 eV/atom.

=====

[2]
## PmReP2 (GGA-PBE)

Data for PmReP2 after structural relaxation.

The structure in POSCAR format:
```
PmReP2
1.0
-0.064 -4.122 -0.012
2.594 -2.094 -2.424
4.143 -2.134 2.772
Pm Re P
1 1 2
direct
0.500 0.500 0.500 Pm
0.000 0.000 0.000 Re
0.287 0.287 0.140 P
0.713 0.713 0.860 P
```

The value obtained for the density of states at the Fermi level is 0.994 states/eV per cell. The space group is R-3m, No. 166. The calculated total energy is -7.751 eV/atom.

=====

[3]
## SbMoRuI2 (GGA-PBE)

Data for SbMoRuI2 after structural relaxation.

The structure in POSCAR format:
```
SbMoRuI2
1.0
-0.971 -4.744 -2.670
2.277 -2.818 4.178
-4.452 -0.330 2.204
I Mo Sb Ru
2 1 1 1
direct
0.500 0.000 0.000 I
0.000 0.500 0.000 I
0.500 0.500 0.500 Mo
0.000 0.000 0.500 Sb
0.000 0.000 0.000 Ru
```

The calculation puts the uncorrected formation energy at 1.15 eV per atom. The value obtained for the density of states at the Fermi level is 3.124 states/eV per cell. The space group is P4/mmm, No. 123. The calculated total energy is -4.320 eV/atom.

=====

[4]
## Na2SbS4 (GGA-PBE)

Data for Na2SbS4 after structural relaxation.

The structure in POSCAR format:
```
Na2SbS4
1.0
-0.031 2.764 -2.164
-2.052 -5.498 -6.991
-11.222 1.519 2.100
S Na Sb
8 4 2
direct
0.000 0.501 0.780 S
0.500 0.800 0.500 S
0.500 0.300 0.000 S
0.500 0.200 0.500 S
0.500 0.700 0.000 S
0.000 0.499 0.220 S
0.000 0.001 0.720 S
0.000 0.999 0.280 S
0.500 0.751 0.750 Na
0.500 0.249 0.250 Na
0.500 0.251 0.750 Na
0.500 0.749 0.250 Na
0.000 0.000 0.500 Sb
0.000 0.500 0.000 Sb
```

The calculation puts the uncorrected formation energy at -0.45 eV per atom. The value obtained for the density of states at the Fermi level is 6.248 states/eV per cell. The space group is Pbam, No. 55. The calculated total energy is -3.775 eV/atom.

=====

[5]
## PrYSnPt (GGA-PBE)

Data for PrYSnPt after structural relaxation.

The structure in POSCAR format:
```
PrYSnPt
1.0
-0.829 3.305 -4.006
2.274 -0.891 -4.658
-2.918 -1.520 -4.103
Pr Pt Sn Y
1 1 1 1
direct
0.000 0.000 0.000 Pr
0.750 0.750 0.750 Pt
0.250 0.250 0.250 Sn
0.500 0.500 0.500 Y
```

The value obtained for the density of states at the Fermi level is 1.810 states/eV per cell. The space group is F-43m, No. 216. The calculated total energy is -6.121 eV/atom.

=====

[6]
## TcSbBr2 (GGA-PBE)

Data for TcSbBr2 after structural relaxation.

The structure in POSCAR format:
```
TcSbBr2
1.0
1.526 -4.750 0.864
-2.521 -3.882 -2.051
2.107 -2.700 -3.729
Br Sb Tc
2 1 1
direct
0.750 0.750 0.750 Br
0.250 0.250 0.250 Br
0.500 0.500 0.500 Sb
0.000 0.000 0.000 Tc
```

The calculation puts the uncorrected formation energy at 0.81 eV per atom. The value obtained for the density of states at the Fermi level is 2.590 states/eV per cell. The space group is Fm-3m, No. 225. The calculated total energy is -3.647 eV/atom.

=====

[7]
## AcEr3Sb2 (GGA-PBE)

Data for AcEr3Sb2 after structural relaxation.

The structure in POSCAR format:
```
AcEr3Sb2
1.0
-3.224 -2.011 -2.191
8.141 -7.058 -1.111
-5.867 0.731 7.960
Sb Er Ac
4 6 2
direct
0.517 0.034 0.193 Sb
0.761 0.521 0.217 Sb
0.483 0.966 0.807 Sb
0.239 0.479 0.783 Sb
0.943 0.886 0.557 Er
0.637 0.273 0.798 Er
0.690 0.379 0.500 Er
0.057 0.114 0.443 Er
0.363 0.727 0.202 Er
0.310 0.621 0.500 Er
0.887 0.774 0.902 Ac
0.113 0.226 0.098 Ac
```

The calculation puts the uncorrected formation energy at -0.65 eV per atom. The value obtained for the density of states at the Fermi level is 11.203 states/eV per cell. The space group is C2/m, No. 12. The calculated total energy is -4.987 eV/atom.

=====

[8]
## Er4Tl2Co (GGA-PBE)

Data for Er4Tl2Co after structural relaxation.

The structure in POSCAR format:
```
Er4Tl2Co
1.0
3.638 0.000 0.000
0.000 8.880 -1.293
0.000 -5.483 6.813
Er Co Tl
4 1 2
direct
0.500 0.219 0.371 Er
0.500 0.924 0.771 Er
0.000 0.447 0.217 Er
0.000 0.696 0.926 Er
0.000 0.071 0.071 Co
0.500 0.828 0.332 Tl
0.500 0.315 0.811 Tl
```

The value obtained for the density of states at the Fermi level is 5.263 states/eV per cell. The space group is P2/m, No. 10. The calculated total energy is -4.469 eV/atom.

=====

[9]
## Sn3S2I2 (GGA-PBE)

Data for Sn3S2I2 after structural relaxation.

The structure in POSCAR format:
```
Sn3S2I2
1.0
-4.278 -0.111 -0.577
-0.877 -2.442 6.971
1.992 8.312 -0.209
I Sn S
2 3 2
direct
0.417 0.195 0.834 I
0.583 0.805 0.166 I
0.000 0.000 0.000 Sn
0.244 0.721 0.489 Sn
0.756 0.279 0.511 Sn
0.166 0.330 0.332 S
0.834 0.670 0.668 S
```

The calculation puts the uncorrected formation energy at -0.44 eV per atom. The space group is C2/m, No. 12. The calculated total energy is -3.774 eV/atom.

=====

[10]
## MgMnIn2 (GGA-PBE)

Data for MgMnIn2 after structural relaxation.

The structure in POSCAR format:
```
MgMnIn2
1.0
4.398 0.000 0.000
0.000 4.398 0.000
2.199 2.199 9.802
In Mn Mg
4 2 2
direct
0.375 0.362 0.750 In
0.112 0.625 0.250 In
0.875 0.888 0.750 In
0.638 0.125 0.250 In
0.750 0.250 0.500 Mn
0.000 0.000 0.000 Mn
0.500 0.500 0.000 Mg
0.250 0.750 0.500 Mg
```

The value obtained for the density of states at the Fermi level is 3.809 states/eV per cell. The space group is I-42d, No. 122. The calculated total energy is -3.746 eV/atom.

=====

[11]
## HfB3Pt (GGA-PBE)

Data for HfB3Pt after structural relaxation.

The structure in POSCAR format:
```
HfB3Pt
1.0
4.276 0.000 0.000
0.000 4.276 0.000
0.000 0.000 4.276
B Hf Pt
3 1 1
direct
0.000 0.000 0.500 B
0.500 0.000 0.000 B
0.000 0.500 0.000 B
0.000 0.000 0.000 Hf
0.500 0.500 0.500 Pt
```

The value obtained for the density of states at the Fermi level is 1.868 states/eV per cell. The space group is Pm-3m, No. 221. The calculated total energy is -5.278 eV/atom.

=====

[12]
## CsRbNa2Sb (GGA-PBE)

Data for CsRbNa2Sb after structural relaxation.

The structure in POSCAR format:
```
CsRbNa2Sb
1.0
-2.196 -4.557 3.608
3.721 -4.065 -2.869
5.156 1.324 4.812
Rb Cs Na Sb
1 1 2 1
direct
0.000 0.000 0.500 Rb
0.500 0.500 0.500 Cs
0.500 0.000 0.000 Na
0.000 0.500 0.000 Na
0.000 0.000 0.000 Sb
```

The calculation puts the uncorrected formation energy at -0.19 eV per atom. The value obtained for the density of states at the Fermi level is 3.045 states/eV per cell. The space group is P4/mmm, No. 123. The calculated total energy is -1.906 eV/atom.